# Ba2CdAs (PBE-GGA, optimized geometry)
# total magnetization = 0.5 μB per cell
# final energy = -2.850 eV/atom
# relative energy among the computed polymorphs = 196 meV per atom
# DOS(E_F) = 0.763 states/eV/atom
# ΔE_f = -0.50 eV/atom
data_Ba2CdAs
_chemical_formula_sum 'Ba4 Cd2 As2'
_space_group_name_H-M_alt 'I -4 m 2'
_space_group_IT_number 119
_space_group_name_Hall 'I -4 -2'
_cell_length_a 4.859
_cell_length_b 4.859
_cell_length_c 11.756
_cell_angle_alpha 90.00
_cell_angle_beta 90.00
_cell_angle_gamma 90.00
loop_
_atom_site_label
_atom_site_type_symbol
_atom_site_fract_x
_atom_site_fract_y
_atom_site_fract_z
_atom_site_occupancy
Ba1 Ba 0.000 0.000 0.000 1
Ba2 Ba 0.000 0.500 0.250 1
Cd1 Cd 0.000 0.500 0.750 1
As1 As 0.000 0.000 0.500 1

=====

# BaCdAs2 (PBE-GGA, optimized geometry)
# total magnetization = 0.0 μB per cell
# final energy = -3.724 eV/atom
# DOS(E_F) = 0.121 states/eV/atom
# ΔE_f = -0.69 eV/atom
data_BaCdAs2
_chemical_formula_sum 'Ba2 Cd2 As4'
_space_group_name_H-M_alt 'P -3 m 1'
_space_group_IT_number 164
_space_group_name_Hall '-P 3 2"'
_cell_length_a 4.6094
_cell_length_b 4.6094
_cell_length_c 12.5276
_cell_angle_alpha 90.00
_cell_angle_beta 90.00
_cell_angle_gamma 120.00
loop_
_atom_site_label
_atom_site_type_symbol
_atom_site_fract_x
_atom_site_fract_y
_atom_site_fract_z
_atom_site_occupancy
Ba1 Ba 0.0000 0.0000 0.1900 1
Cd1 Cd 0.3333 0.6667 0.5805 1
As1 As 0.3333 0.6667 0.3531 1
As2 As 0.3333 0.6667 0.9852 1

=====

# BaCd2As2 (PBE-GGA, optimized geometry)
# total magnetization = 0.0 μB per cell
# final energy = -2.881 eV/atom
# DOS(E_F) = 0.247 states/eV/atom
# ΔE_f = -0.27 eV/atom
data_BaCd2As2
_chemical_formula_sum 'Ba2 Cd4 As4'
_space_group_name_H-M_alt 'P 4/m b m'
_space_group_IT_number 127
_space_group_name_Hall '-P 4 2ab'
_cell_length_a 8.496
_cell_length_b 8.496
_cell_length_c 3.565
_cell_angle_alpha 90.00
_cell_angle_beta 90.00
_cell_angle_gamma 90.00
loop_
_atom_site_label
_atom_site_type_symbol
_atom_site_fract_x
_atom_site_fract_y
_atom_site_fract_z
_atom_site_occupancy
Ba1 Ba 0.000 0.000 0.000 1
Cd1 Cd 0.117 0.383 0.000 1
As1 As 0.189 0.689 0.500 1

=====

# BaCd2As (PBE-GGA, optimized geometry)
# total magnetization = 0.0 μB per cell
# final energy = -2.391 eV/atom
# DOS(E_F) = 0.327 states/eV/atom
# ΔE_f = -0.29 eV/atom
data_BaCd2As
_chemical_formula_sum 'Ba4 Cd8 As4'
_space_group_name_H-M_alt 'I -4 2 d'
_space_group_IT_number 122
_space_group_name_Hall 'I -4 2bw'
_cell_length_a 4.805
_cell_length_b 4.805
_cell_length_c 22.065
_cell_angle_alpha 90.00
_cell_angle_beta 90.00
_cell_angle_gamma 90.00
loop_
_atom_site_label
_atom_site_type_symbol
_atom_site_fract_x
_atom_site_fract_y
_atom_site_fract_z
_atom_site_occupancy
Ba1 Ba 0.000 0.000 0.000 1
Cd1 Cd 0.163 0.250 0.625 1
As1 As 0.000 0.000 0.500 1

=====

# BaCdAs2 (PBE-GGA, optimized geometry)
# total magnetization = 0.0 μB per cell
# final energy = -3.466 eV/atom
# DOS(E_F) = 0.181 states/eV/atom
# ΔE_f = -0.43 eV/atom
data_BaCdAs2
_chemical_formula_sum 'Ba4 Cd4 As8'
_space_group_name_H-M_alt 'I -4 2 d'
_space_group_IT_number 122
_space_group_name_Hall 'I -4 2bw'
_cell_length_a 5.345
_cell_length_b 5.345
_cell_length_c 18.211
_cell_angle_alpha 90.00
_cell_angle_beta 90.00
_cell_angle_gamma 90.00
loop_
_atom_site_label
_atom_site_type_symbol
_atom_site_fract_x
_atom_site_fract_y
_atom_site_fract_z
_atom_site_occupancy
Ba1 Ba 0.000 0.000 0.000 1
Cd1 Cd 0.000 0.000 0.500 1
As1 As 0.083 0.250 0.625 1

=====

# BaCdAs (PBE-GGA, optimized geometry)
# total magnetization = 0.0 μB per cell
# final energy = -3.134 eV/atom
# relative energy among the computed polymorphs = 0 meV per atom
# DOS(E_F) = 0.339 states/eV/atom
# ΔE_f = -0.64 eV/atom
data_BaCdAs
_chemical_formula_sum 'Ba2 Cd2 As2'
_space_group_name_H-M_alt 'P 1 2/m 1'
_space_group_IT_number 10
_cell_length_a 5.194
_cell_length_b 4.427
_cell_length_c 8.446
_cell_angle_alpha 90.00
_cell_angle_beta 99.19
_cell_angle_gamma 90.00
loop_
_space_group_symop_operation_xyz
'x,y,z'
'-x,-y,-z'
'-x,y,-z'
'x,-y,z'
loop_
_atom_site_label
_atom_site_type_symbol
_atom_site_fract_x
_atom_site_fract_y
_atom_site_fract_z
_atom_site_occupancy
Ba1 Ba 0.234 0.000 0.197 1
Cd1 Cd 0.268 0.500 0.570 1
As1 As 0.297 0.500 0.897 1

=====

# Ba2CdAs (PBE-GGA, optimized geometry)
# total magnetization = 0.0 μB per cell
# final energy = -3.045 eV/atom
# relative energy among the computed polymorphs = 1 meV per atom
# DOS(E_F) = 0.670 states/eV/atom
# ΔE_f = -0.69 eV/atom
data_Ba2CdAs
_chemical_formula_sum 'Ba4 Cd2 As2'
_space_group_name_H-M_alt 'A m m 2'
_space_group_IT_number 38
_cell_length_a 4.850
_cell_length_b 4.848
_cell_length_c 12.551
_cell_angle_alpha 90.00
_cell_angle_beta 90.00
_cell_angle_gamma 90.00
loop_
_space_group_symop_operation_xyz
'x,y,z'
'-x,-y,z'
'-x,y,z'
'x,-y,z'
'x,y+1/2,z+1/2'
'-x,-y+1/2,z+1/2'
'-x,y+1/2,z+1/2'
'x,-y+1/2,z+1/2'
loop_
_atom_site_label
_atom_site_type_symbol
_atom_site_fract_x
_atom_site_fract_y
_atom_site_fract_z
_atom_site_occupancy
Ba1 Ba 0.000 0.000 0.000 1
Ba2 Ba 0.500 0.000 0.272 1
Cd1 Cd 0.500 0.000 0.563 1
As1 As 0.000 0.000 0.713 1

=====

# BaCdAs3 (PBE-GGA, optimized geometry)
# total magnetization = 0.0 μB per cell
# final energy = -3.346 eV/atom
# relative energy among the computed polymorphs = 0 meV per atom
# DOS(E_F) = 0.755 states/eV/atom
# ΔE_f = 0.01 eV/atom
data_BaCdAs3
_chemical_formula_sum 'Ba1 Cd1 As3'
_space_group_name_H-M_alt 'P m -3 m'
_space_group_IT_number 221
_space_group_name_Hall '-P 4 2 3'
_cell_length_a 5.272
_cell_length_b 5.272
_cell_length_c 5.272
_cell_angle_alpha 90.00
_cell_angle_beta 90.00
_cell_angle_gamma 90.00
loop_
_atom_site_label
_atom_site_type_symbol
_atom_site_fract_x
_atom_site_fract_y
_atom_site_fract_z
_atom_site_occupancy
Ba1 Ba 0.000 0.000 0.000 1
Cd1 Cd 0.500 0.500 0.500 1
As1 As 0.000 0.500 0.500 1

=====

> Which of these has the highest DOS(E_F)?

number 1